# 1
# LiTl2W

A relaxed structure of LiTl2W (PBE, Alexandria).

Geometry as POSCAR:
```
LiTl2W
1.0
5.6786 -0.0042 -0.0068
4.8619 2.9340 -0.0068
1.4867 0.4132 4.7876
Tl W Li
2 1 1
direct
0.9999 0.9999 0.9185
0.2397 0.2397 0.3541
0.4987 0.4987 0.4144
0.7617 0.7617 0.8129
```

- excess energy over the best structure of this formula in the dataset (meV per atom) = 79
- DOS(E_F) (states/eV/cell) = 1.69
- energy relative to the elements (eV per atom) = 0.562
- electronic total energy (eV/atom) = -4.338

# 2
# CaCeO2

A relaxed structure of CaCeO2 (PBE, Alexandria).

Geometry as POSCAR:
```
CaCeO2
1.0
-2.4598 1.7749 -1.5488
-3.0037 -1.4661 -0.6542
-3.8327 1.8866 4.5043
O Ce Ca
2 1 1
direct
0.2449 0.2449 0.2652
0.7551 0.7551 0.7348
0.0000 0.0000 0.0000
0.5000 0.5000 0.5000
```

- excess energy over the best structure of this formula in the dataset (meV per atom) = 0
- DOS(E_F) (states/eV/cell) = 3.55
- formation energy (no corrections) (eV/atom) = -2.809
- electronic total energy (eV/atom) = -7.272

# 3
# ZnHgBC2

A relaxed structure of ZnHgBC2 (PBE, Alexandria).

Geometry as POSCAR:
```
ZnHgBC2
1.0
-1.1647 1.8984 3.0219
-1.3534 -5.1352 2.7044
3.4654 -0.1578 1.4347
B Hg C Zn
1 1 2 1
direct
0.5000 0.5000 0.5000
0.0000 0.5000 0.0000
0.0000 0.0000 0.5000
0.5000 0.0000 0.0000
0.0000 0.0000 0.0000
```

- DOS(E_F) (states/eV/cell) = 2.45
- energy relative to the elements (eV per atom) = 2.712
- electronic total energy (eV/atom) = -2.628

# 4
# Pm2DyPb9

A relaxed structure of Pm2DyPb9 (PBE, Alexandria).

Geometry as POSCAR:
```
Pm2DyPb9
1.0
4.9070 0.0000 0.0000
0.0000 4.9070 0.0000
0.0000 0.0000 14.7008
Pb Pm Dy
9 2 1
direct
0.5000 0.0000 0.8361
0.0000 0.5000 0.8361
0.5000 0.0000 0.1639
0.0000 0.5000 0.5000
0.5000 0.5000 0.6681
0.0000 0.5000 0.1639
0.5000 0.5000 0.3319
0.5000 0.0000 0.5000
0.5000 0.5000 0.0000
0.0000 0.0000 0.6674
0.0000 0.0000 0.3326
0.0000 0.0000 0.0000
```

- DOS(E_F) (states/eV/cell) = 5.94
- energy relative to the elements (eV per atom) = -0.332
- electronic total energy (eV/atom) = -4.288

# 5
# NaLa3Tc

A relaxed structure of NaLa3Tc (PBE, Alexandria).

Geometry as POSCAR:
```
NaLa3Tc
1.0
-2.5211 4.9703 -0.6089
-4.9015 -2.5889 -0.8390
-1.0250 0.1550 5.5096
La Na Tc
3 1 1
direct
0.0000 0.5000 0.0000
0.5000 0.0000 0.0000
0.0000 0.0000 0.5000
0.5000 0.5000 0.5000
0.0000 0.0000 0.0000
```

- excess energy over the best structure of this formula in the dataset (meV per atom) = 0
- DOS(E_F) (states/eV/cell) = 5.89
- energy relative to the elements (eV per atom) = 0.052
- electronic total energy (eV/atom) = -5.242

# 6
# Tm4Sc4Pb

A relaxed structure of Tm4Sc4Pb (PBE, Alexandria).

Geometry as POSCAR:
```
Tm4Sc4Pb
1.0
-2.3628 3.8474 -1.0359
-4.4179 -1.5344 -5.9790
-6.4904 -0.1380 3.9340
Tm Sc Pb
4 4 1
direct
0.6644 0.0000 0.6712
0.3356 0.0000 0.3288
0.3356 0.3288 0.0000
0.6644 0.6712 0.0000
0.6559 0.3441 0.3440
0.9999 0.6560 0.3441
0.0001 0.3440 0.6559
0.3441 0.6559 0.6560
0.0000 0.0000 0.0000
```

- DOS(E_F) (states/eV/cell) = 16.27
- energy relative to the elements (eV per atom) = -0.070
- electronic total energy (eV/atom) = -5.284

# 7
# ZnReSe

A relaxed structure of ZnReSe (PBE, Alexandria).

Geometry as POSCAR:
```
ZnReSe
1.0
3.0739 0.0000 0.0000
-1.5370 2.6621 0.0000
0.0000 0.0000 6.2581
Se Zn Re
1 1 1
direct
0.6667 0.3333 0.2918
0.3333 0.6667 0.6926
0.0000 0.0000 0.0155
```

- excess energy over the best structure of this formula in the dataset (meV per atom) = 0
- DOS(E_F) (states/eV/cell) = 1.34
- formation energy (no corrections) (eV/atom) = 0.162
- electronic total energy (eV/atom) = -5.573